Record 1
Below is a relaxed Sr3Mn crystal, with properties calculated at the PBE-GGA level.

Values from the calculation:
Formation energy in eV per atom: 0.68
Electronic total energy in eV per atom: -2.875
Space group: Pm-3m (221)
Volume in A^3/atom: 58.02

Cell lengths 6.1455, 6.1455, 6.1455 Å; angles 90.00, 90.00, 90.00 degrees
Closest atoms and distances in Å follow each position.
Fractional coordinates of all 4 atoms:
Sr 0.0000 0.0000 0.5000  2 Mn 3.07
Sr 0.0000 0.5000 0.0000  2 Mn 3.07
Sr 0.5000 0.0000 0.0000  2 Mn 3.07
Mn 0.0000 0.0000 0.0000  6 Sr 3.07

Record 2
Below is a relaxed Pr4MgZn2Au crystal, with properties calculated at the PBE-GGA level.

Values from the calculation:
Formation energy in eV per atom: -0.36
Electronic total energy in eV per atom: -3.679
Space group: R-3m (166)
Volume in A^3/atom: 26.83

Cell lengths 9.2638, 9.2638, 9.2638 Å; angles 33.41, 33.41, 33.41 degrees
Closest atoms and distances in Å follow each position.
Fractional coordinates of all 8 atoms:
Pr 0.1200 0.1200 0.1200  1 Au 3.14, 4 Zn 3.16, 3 Mg 3.31
Pr 0.3715 0.3715 0.3715  3 Au 3.23, 1 Mg 3.37, 4 Zn 3.39-3.44
Pr 0.6285 0.6285 0.6285  3 Au 3.23, 1 Mg 3.37, 4 Zn 3.39-3.44
Pr 0.8800 0.8800 0.8800  1 Au 3.14, 4 Zn 3.16, 3 Mg 3.31
Mg 0.5000 0.5000 0.5000  8 Pr 3.31-3.37, 6 Zn 3.63
Zn 0.2404 0.2404 0.2404  8 Pr 3.16-3.44
Zn 0.7596 0.7596 0.7596  8 Pr 3.16-3.44
Au 0.0000 0.0000 0.0000  8 Pr 3.14-3.23

Record 3
Below is a relaxed CdOs2Au2 crystal, with properties calculated at the PBE-GGA level.

Values from the calculation:
Formation energy in eV per atom: 0.79
Electronic total energy in eV per atom: -5.194
Space group: P4/mbm (127)
Volume in A^3/atom: 18.45

Cell lengths 8.1782, 8.1782, 2.7583 Å; angles 90.00, 90.00, 90.00 degrees
Closest atoms and distances in Å follow each position.
Fractional coordinates of all 10 atoms:
Cd 0.0000 0.0000 0.0000  2 Cd 2.76, 4 Au 2.97
Cd 0.5000 0.5000 0.0000  2 Cd 2.76, 4 Au 2.97
Os 0.1046 0.3954 0.5000  1 Os 2.42
Os 0.3954 0.8954 0.5000  1 Os 2.42
Os 0.6046 0.1046 0.5000  1 Os 2.42
Os 0.8954 0.6046 0.5000  1 Os 2.42
Au 0.1913 0.6913 0.0000  6 Os 2.73-2.87, 2 Au 2.76, 2 Cd 2.97
Au 0.3087 0.1913 0.0000  6 Os 2.73-2.87, 2 Au 2.76, 2 Cd 2.97
Au 0.6913 0.8087 0.0000  6 Os 2.73-2.87, 2 Au 2.76, 2 Cd 2.97
Au 0.8087 0.3087 0.0000  6 Os 2.73-2.87, 2 Au 2.76, 2 Cd 2.97

Question: Number 1 is which compound?
Answer: Sr3Mn

Question: electronic total energy of number 1 (Sr3Mn)?
Answer: -2.875 eV per atom

Question: volume of number 2 (Pr4MgZn2Au)?
Answer: 26.83 A^3/atom